The following is a DFT calculation (PBE) of crystalline Y3Tm5Th at its relaxed geometry.

```
Y3Tm5Th
1.0
9.648 0.000 0.000
-4.824 8.356 0.000
0.000 0.000 6.912
Y Tm Th
6 10 2
direct
0.000 0.336 0.250 Y
0.000 0.664 0.750 Y
0.336 0.000 0.250 Y
0.336 0.336 0.750 Y
0.664 0.000 0.750 Y
0.664 0.664 0.250 Y
0.000 0.332 0.750 Tm
0.000 0.668 0.250 Tm
0.332 0.000 0.750 Tm
0.332 0.332 0.250 Tm
0.333 0.667 0.000 Tm
0.333 0.667 0.500 Tm
0.667 0.333 0.000 Tm
0.667 0.333 0.500 Tm
0.668 0.000 0.250 Tm
0.668 0.668 0.750 Tm
0.000 0.000 0.000 Th
0.000 0.000 0.500 Th
```

Output
Volume   557.2 Å³ per cell
Symmetry   P6_3/mcm
Spin magnetization   0.00 μB/f.u.
Energy of formation   69 meV per atom
Density   8.01 Mg/m³
Calculated total energy   -5.394 eV per atom

=====

The following is a DFT calculation (PBE) of crystalline La2PmIn3 at its relaxed geometry.

```
La2PmIn3
1.0
1.913 -15.050 0.000
1.913 15.050 0.000
0.000 0.000 6.683
La Pm In
4 2 6
direct
0.007 0.993 0.750 La
0.154 0.846 0.250 La
0.846 0.154 0.750 La
0.993 0.007 0.250 La
0.331 0.669 0.250 Pm
0.669 0.331 0.750 Pm
0.255 0.745 0.750 In
0.423 0.577 0.514 In
0.423 0.577 0.986 In
0.577 0.423 0.014 In
0.577 0.423 0.486 In
0.745 0.255 0.250 In
```

Output
Volume   384.8 Å³ per cell
Symmetry   Cmcm
Spin magnetization   0.00 μB/f.u.
Energy above the lowest structure with this stoichiometry   19.2 kJ/mol of atoms
Energy of formation   -311 meV per atom
Density   6.62 Mg/m³
Calculated total energy   -4.115 eV per atom